Version i
{"formula": "Tb5Sm3Dy2", "functional": "PBE", "state": "relaxed", "cell": [[5.357, -7.915, 0.000], [5.357, 7.915, 0.000], [-5.326, 0.000, 7.846]], "species": ["Tb", "Tb", "Tb", "Tb", "Tb", "Tb", "Tb", "Tb", "Tb", "Tb", "Sm", "Sm", "Sm", "Sm", "Sm", "Sm", "Dy", "Dy", "Dy", "Dy"], "frac_coords": [[0.024, 0.976, 0.750], [0.149, 0.384, 0.781], [0.273, 0.727, 0.250], [0.384, 0.149, 0.281], [0.470, 0.530, 0.250], [0.530, 0.470, 0.750], [0.616, 0.851, 0.719], [0.727, 0.273, 0.750], [0.851, 0.616, 0.219], [0.976, 0.024, 0.250], [0.016, 0.267, 0.047], [0.232, 0.768, 0.750], [0.267, 0.016, 0.547], [0.733, 0.984, 0.453], [0.768, 0.232, 0.250], [0.984, 0.733, 0.953], [0.225, 0.463, 0.454], [0.463, 0.225, 0.954], [0.537, 0.775, 0.046], [0.775, 0.537, 0.546]], "crystal_system": "monoclinic"}

---

Version ii
{"formula": "Tb5Sm3Dy2", "functional": "PBE", "state": "relaxed", "cell": [[-5.600, 8.875, 3.362], [5.600, -8.875, 3.362], [5.600, 8.875, -3.362]], "species": ["Tb", "Tb", "Tb", "Tb", "Tb", "Tb", "Tb", "Tb", "Tb", "Tb", "Sm", "Sm", "Sm", "Sm", "Sm", "Sm", "Dy", "Dy", "Dy", "Dy"], "frac_coords": [[0.069, 0.750, 0.319], [0.170, 0.099, 0.269], [0.250, 0.250, 0.000], [0.330, 0.599, 0.930], [0.431, 0.750, 0.681], [0.569, 0.250, 0.319], [0.670, 0.401, 0.070], [0.750, 0.750, 0.000], [0.830, 0.901, 0.731], [0.931, 0.250, 0.681], [0.172, 0.791, 0.962], [0.250, 0.750, 0.500], [0.328, 0.291, 0.619], [0.672, 0.709, 0.381], [0.750, 0.250, 0.500], [0.828, 0.209, 0.038], [0.026, 0.264, 0.290], [0.474, 0.764, 0.237], [0.526, 0.236, 0.763], [0.974, 0.736, 0.710]], "crystal_system": "orthorhombic"}

---

version i is preferred energetically. Next in line: 64 meV/atom higher.

---

Version i
{"formula": "Tb3Sm8Dy4", "functional": "PBE", "state": "relaxed", "cell": [[3.494, 2.017, 11.873], [-3.494, 2.017, 11.873], [0.000, -4.035, 11.873]], "species": ["Tb", "Tb", "Tb", "Sm", "Sm", "Sm", "Sm", "Sm", "Sm", "Sm", "Sm", "Dy", "Dy", "Dy", "Dy"], "frac_coords": [[0.000, 0.500, 0.500], [0.500, 0.000, 0.500], [0.500, 0.500, 0.000], [0.251, 0.251, 0.748], [0.251, 0.748, 0.251], [0.252, 0.749, 0.749], [0.254, 0.254, 0.254], [0.746, 0.746, 0.746], [0.748, 0.251, 0.251], [0.749, 0.252, 0.749], [0.749, 0.749, 0.252], [0.000, 0.000, 0.000], [0.164, 0.164, 0.164], [0.500, 0.500, 0.500], [0.836, 0.836, 0.836]], "crystal_system": "trigonal"}

---

Version ii
{"formula": "Tb3Sm8Dy4", "functional": "PBE", "state": "relaxed", "cell": [[6.750, -6.401, 0.000], [6.750, 6.401, 0.000], [-3.451, 0.000, 5.893]], "species": ["Tb", "Tb", "Tb", "Sm", "Sm", "Sm", "Sm", "Sm", "Sm", "Sm", "Sm", "Dy", "Dy", "Dy", "Dy"], "frac_coords": [[0.000, 0.000, 0.000], [0.000, 0.500, 0.500], [0.500, 0.000, 0.500], [0.147, 0.853, 0.500], [0.233, 0.233, 0.496], [0.235, 0.235, 0.971], [0.248, 0.752, 0.000], [0.752, 0.248, 0.000], [0.765, 0.765, 0.029], [0.767, 0.767, 0.504], [0.853, 0.147, 0.500], [0.000, 0.500, 0.000], [0.500, 0.000, 0.000], [0.500, 0.500, 0.000], [0.500, 0.500, 0.500]], "crystal_system": "monoclinic"}

---

version i is preferred energetically. Next in line: 230 meV/atom higher.

---

Version i
{"formula": "Tb2Sm5Dy4", "functional": "PBE", "state": "relaxed", "cell": [[-1.758, 4.560, 11.692], [1.758, -4.560, 11.692], [1.758, 4.560, -11.692]], "species": ["Tb", "Tb", "Sm", "Sm", "Sm", "Sm", "Sm", "Dy", "Dy", "Dy", "Dy"], "frac_coords": [[0.231, 0.231, 0.000], [0.769, 0.769, 0.000], [0.154, 0.354, 0.800], [0.446, 0.646, 0.800], [0.500, 0.000, 0.500], [0.554, 0.354, 0.200], [0.846, 0.646, 0.200], [0.097, 0.097, 0.000], [0.190, 0.500, 0.690], [0.810, 0.500, 0.310], [0.903, 0.903, 0.000]], "crystal_system": "orthorhombic"}

---

Version ii
{"formula": "Tb2Sm5Dy4", "functional": "PBE", "state": "relaxed", "cell": [[11.979, -1.740, 0.000], [11.979, 1.740, 0.000], [-1.089, 0.000, 8.700]], "species": ["Tb", "Tb", "Sm", "Sm", "Sm", "Sm", "Sm", "Dy", "Dy", "Dy", "Dy"], "frac_coords": [[0.092, 0.092, 0.235], [0.908, 0.908, 0.765], [0.140, 0.140, 0.619], [0.232, 0.232, 0.321], [0.500, 0.500, 0.500], [0.768, 0.768, 0.679], [0.860, 0.860, 0.381], [0.045, 0.045, 0.863], [0.324, 0.324, 0.029], [0.676, 0.676, 0.971], [0.955, 0.955, 0.137]], "crystal_system": "monoclinic"}

---

version ii is preferred energetically. Next in line: 63 meV/atom higher.

---

Version i
{"formula": "Tb3Sm4Dy", "functional": "PBE", "state": "relaxed", "cell": [[11.503, 0.000, 0.000], [0.000, 7.312, 0.000], [0.000, 0.000, 6.316]], "species": ["Tb", "Tb", "Tb", "Tb", "Tb", "Tb", "Sm", "Sm", "Sm", "Sm", "Sm", "Sm", "Sm", "Sm", "Dy", "Dy"], "frac_coords": [[0.000, 0.123, 0.000], [0.250, 0.123, 0.333], [0.250, 0.877, 0.833], [0.500, 0.877, 0.500], [0.750, 0.123, 0.333], [0.750, 0.877, 0.833], [0.000, 0.374, 0.500], [0.000, 0.627, 0.000], [0.250, 0.373, 0.833], [0.250, 0.627, 0.333], [0.500, 0.373, 0.500], [0.500, 0.626, 0.000], [0.750, 0.373, 0.833], [0.750, 0.627, 0.333], [0.000, 0.877, 0.500], [0.500, 0.123, 0.000]], "crystal_system": "orthorhombic"}

---

Version ii
{"formula": "Tb3Sm4Dy", "functional": "PBE", "state": "relaxed", "cell": [[11.751, -1.746, 0.000], [11.751, 1.746, 0.000], [-1.954, 0.000, 6.508]], "species": ["Tb", "Tb", "Tb", "Sm", "Sm", "Sm", "Sm", "Dy"], "frac_coords": [[0.000, 0.000, 0.000], [0.123, 0.123, 0.382], [0.877, 0.877, 0.618], [0.124, 0.124, 0.868], [0.260, 0.260, 0.262], [0.740, 0.740, 0.738], [0.876, 0.876, 0.132], [0.500, 0.500, 0.500]], "crystal_system": "monoclinic"}

---

version i is preferred energetically. Next in line: 142 meV/atom higher.

---

Version i
{"formula": "Tb2SmDy5", "functional": "PBE", "state": "relaxed", "cell": [[5.775, 0.000, 0.000], [0.000, 11.140, 0.000], [-2.419, 0.000, 8.138]], "species": ["Tb", "Tb", "Tb", "Tb", "Sm", "Sm", "Dy", "Dy", "Dy", "Dy", "Dy", "Dy", "Dy", "Dy", "Dy", "Dy"], "frac_coords": [[0.118, 0.116, 0.040], [0.118, 0.384, 0.040], [0.882, 0.616, 0.960], [0.882, 0.884, 0.960], [0.496, 0.750, 0.152], [0.504, 0.250, 0.848], [0.198, 0.578, 0.380], [0.198, 0.922, 0.380], [0.235, 0.250, 0.422], [0.332, 0.576, 0.789], [0.332, 0.924, 0.789], [0.668, 0.076, 0.211], [0.668, 0.424, 0.211], [0.765, 0.750, 0.578], [0.802, 0.078, 0.620], [0.802, 0.422, 0.620]], "crystal_system": "monoclinic"}

---

Version ii
{"formula": "Tb2SmDy5", "functional": "PBE", "state": "relaxed", "cell": [[7.120, 0.000, 0.000], [0.000, 14.240, 0.000], [0.000, 0.000, 5.020]], "species": ["Tb", "Tb", "Tb", "Tb", "Sm", "Sm", "Dy", "Dy", "Dy", "Dy", "Dy", "Dy", "Dy", "Dy", "Dy", "Dy"], "frac_coords": [[0.250, 0.125, 0.000], [0.250, 0.625, 0.000], [0.750, 0.375, 0.000], [0.750, 0.875, 0.000], [0.000, 0.000, 0.500], [0.500, 0.500, 0.500], [0.000, 0.251, 0.500], [0.000, 0.500, 0.500], [0.000, 0.749, 0.500], [0.250, 0.374, 0.000], [0.250, 0.874, 0.000], [0.500, 0.000, 0.500], [0.500, 0.249, 0.500], [0.500, 0.751, 0.500], [0.750, 0.126, 0.000], [0.750, 0.626, 0.000]], "crystal_system": "orthorhombic"}

---

version ii is preferred energetically. Next in line: 169 meV/atom higher.

---

Version i
{"formula": "TbSm2Dy", "functional": "PBE", "state": "relaxed", "cell": [[1.795, 1.036, 11.691], [-1.795, 1.036, 11.691], [0.000, -2.072, 11.691]], "species": ["Tb", "Sm", "Sm", "Dy"], "frac_coords": [[0.000, 0.000, 0.000], [0.250, 0.250, 0.250], [0.750, 0.750, 0.750], [0.500, 0.500, 0.500]], "crystal_system": "trigonal"}

---

Version ii
{"formula": "TbSm2Dy", "functional": "PBE", "state": "relaxed", "cell": [[5.079, 0.000, 0.000], [0.000, 5.079, 0.000], [0.000, 0.000, 5.064]], "species": ["Tb", "Sm", "Sm", "Dy"], "frac_coords": [[0.000, 0.000, 0.000], [0.000, 0.500, 0.500], [0.500, 0.000, 0.500], [0.500, 0.500, 0.000]], "crystal_system": "tetragonal"}

---

version i is preferred energetically. Next in line: 6 meV/atom higher.

---

Version i
{"formula": "TbSm2Dy", "functional": "PBE", "state": "relaxed", "cell": [[1.805, 1.042, 11.620], [-1.805, 1.042, 11.620], [0.000, -2.084, 11.620]], "species": ["Tb", "Sm", "Sm", "Dy"], "frac_coords": [[0.000, 0.000, 0.000], [0.417, 0.417, 0.417], [0.582, 0.582, 0.582], [0.833, 0.833, 0.833]], "crystal_system": "trigonal"}

---

Version ii
{"formula": "TbSm2Dy", "functional": "PBE", "state": "relaxed", "cell": [[5.743, 0.000, 0.000], [0.000, 7.316, 0.000], [0.000, 0.000, 6.317]], "species": ["Tb", "Tb", "Sm", "Sm", "Sm", "Sm", "Dy", "Dy"], "frac_coords": [[0.250, 0.250, 0.166], [0.750, 0.750, 0.834], [0.250, 0.000, 0.668], [0.250, 0.500, 0.668], [0.750, 0.000, 0.332], [0.750, 0.500, 0.332], [0.250, 0.750, 0.166], [0.750, 0.250, 0.834]], "crystal_system": "orthorhombic"}

---

Version iii
{"formula": "TbSm2Dy", "functional": "PBE", "state": "relaxed", "cell": [[0.000, 4.042, 4.042], [4.042, 0.000, 4.042], [4.042, 4.042, 0.000]], "species": ["Tb", "Sm", "Sm", "Dy"], "frac_coords": [[0.000, 0.000, 0.000], [0.250, 0.250, 0.250], [0.750, 0.750, 0.750], [0.500, 0.500, 0.500]], "crystal_system": "cubic"}

---

version i is preferred energetically. Next in line: 10 meV/atom higher.

---

Version i
{"formula": "TbSm4Dy5", "functional": "PBE", "state": "relaxed", "cell": [[8.610, -1.768, 0.000], [8.610, 1.768, 0.000], [-0.006, 0.000, 11.108]], "species": ["Tb", "Sm", "Sm", "Sm", "Sm", "Dy", "Dy", "Dy", "Dy", "Dy"], "frac_coords": [[0.000, 0.000, 0.000], [0.154, 0.154, 0.250], [0.471, 0.471, 0.250], [0.529, 0.529, 0.750], [0.846, 0.846, 0.750], [0.000, 0.000, 0.500], [0.326, 0.326, 0.053], [0.326, 0.326, 0.448], [0.674, 0.674, 0.552], [0.674, 0.674, 0.947]], "crystal_system": "monoclinic"}

---

Version ii
{"formula": "TbSm4Dy5", "functional": "PBE", "state": "relaxed", "cell": [[-5.313, 5.313, 2.977], [5.313, -5.313, 2.977], [5.313, 5.313, -2.977]], "species": ["Tb", "Sm", "Sm", "Sm", "Sm", "Dy", "Dy", "Dy", "Dy", "Dy"], "frac_coords": [[0.000, 0.000, 0.000], [0.085, 0.761, 0.324], [0.438, 0.761, 0.676], [0.761, 0.085, 0.324], [0.761, 0.438, 0.676], [0.075, 0.075, 0.622], [0.075, 0.453, 0.000], [0.453, 0.075, 0.000], [0.453, 0.453, 0.378], [0.527, 0.527, 0.000]], "crystal_system": "tetragonal"}

---

version i is preferred energetically. Next in line: 63 meV/atom higher.

---

Version i
{"formula": "TbSmDy3", "functional": "PBE", "state": "relaxed", "cell": [[3.608, 0.000, 0.000], [0.000, 11.601, 0.000], [-1.801, 0.000, 8.346]], "species": ["Tb", "Tb", "Sm", "Sm", "Dy", "Dy", "Dy", "Dy", "Dy", "Dy"], "frac_coords": [[0.177, 0.250, 0.359], [0.823, 0.750, 0.641], [0.499, 0.750, 0.985], [0.501, 0.250, 0.015], [0.163, 0.750, 0.321], [0.344, 0.000, 0.689], [0.344, 0.500, 0.689], [0.656, 0.000, 0.311], [0.656, 0.500, 0.311], [0.837, 0.250, 0.679]], "crystal_system": "monoclinic"}

---

Version ii
{"formula": "TbSmDy3", "functional": "PBE", "state": "relaxed", "cell": [[6.302, 0.000, 0.000], [0.000, 5.671, 0.000], [-3.150, 0.000, 9.086]], "species": ["Tb", "Tb", "Sm", "Sm", "Dy", "Dy", "Dy", "Dy", "Dy", "Dy"], "frac_coords": [[0.133, 0.250, 0.100], [0.867, 0.750, 0.900], [0.268, 0.750, 0.700], [0.732, 0.250, 0.300], [0.066, 0.750, 0.300], [0.334, 0.250, 0.499], [0.465, 0.750, 0.099], [0.535, 0.250, 0.901], [0.666, 0.750, 0.501], [0.934, 0.250, 0.700]], "crystal_system": "monoclinic"}

---

version ii is preferred energetically. Next in line: 293 meV/atom higher.